BeSnB: relaxed, PBE-GGA.

```
data_BeSnB
_chemical_formula_sum 'Be2 Sn2 B2'
_space_group_name_H-M_alt 'P 1'
_space_group_IT_number 1
_cell_length_a 2.995
_cell_length_b 3.687
_cell_length_c 8.300
_cell_angle_alpha 95.17
_cell_angle_beta 99.81
_cell_angle_gamma 90.02
loop_
_space_group_symop_operation_xyz
'x,y,z'
loop_
_atom_site_label
_atom_site_type_symbol
_atom_site_fract_x
_atom_site_fract_y
_atom_site_fract_z
Be1 Be 0.213 0.362 0.421
Be2 Be 0.787 0.638 0.579
Sn1 Sn 0.093 0.774 0.163
Sn2 Sn 0.907 0.226 0.837
B1 B 0.240 0.887 0.479
B2 B 0.760 0.113 0.521
```

Summary:
**Total magnetic moment**: 0.00 μB per formula unit
**Energy of formation**: 109 meV per atom
**Energy relative to the lowest polymorph listed for this composition**: 0.0 meV/atom
**Calculated total energy**: -4.693 eV/atom

***

Cu2SiTc: relaxed, PBE-GGA.

```
data_Cu2SiTc
_chemical_formula_sum 'Cu2 Si1 Tc1'
_space_group_name_H-M_alt 'P 1'
_space_group_IT_number 1
_cell_length_a 4.715
_cell_length_b 4.715
_cell_length_c 4.642
_cell_angle_alpha 112.38
_cell_angle_beta 112.38
_cell_angle_gamma 33.12
loop_
_space_group_symop_operation_xyz
'x,y,z'
loop_
_atom_site_label
_atom_site_type_symbol
_atom_site_fract_x
_atom_site_fract_y
_atom_site_fract_z
Cu1 Cu 0.000 0.000 0.000
Cu2 Cu 0.245 0.245 0.883
Si1 Si 0.730 0.730 0.399
Tc1 Tc 0.475 0.475 0.481
```

Summary:
**Total magnetic moment**: 0.00 μB per formula unit
**Formation energy from raw total energies**: -0.06 eV per formula unit
**Calculated total energy**: -6.011 eV/atom

***

Repeat the second record exactly.
Cu2SiTc: relaxed, PBE-GGA.

```
data_Cu2SiTc
_chemical_formula_sum 'Cu2 Si1 Tc1'
_space_group_name_H-M_alt 'P 1'
_space_group_IT_number 1
_cell_length_a 4.715
_cell_length_b 4.715
_cell_length_c 4.642
_cell_angle_alpha 112.38
_cell_angle_beta 112.38
_cell_angle_gamma 33.12
loop_
_space_group_symop_operation_xyz
'x,y,z'
loop_
_atom_site_label
_atom_site_type_symbol
_atom_site_fract_x
_atom_site_fract_y
_atom_site_fract_z
Cu1 Cu 0.000 0.000 0.000
Cu2 Cu 0.245 0.245 0.883
Si1 Si 0.730 0.730 0.399
Tc1 Tc 0.475 0.475 0.481
```

Summary:
**Total magnetic moment**: 0.00 μB per formula unit
**Formation energy from raw total energies**: -0.06 eV per formula unit
**Calculated total energy**: -6.011 eV/atom

***

What did the second record say?
Cu2SiTc: relaxed, PBE-GGA.

```
data_Cu2SiTc
_chemical_formula_sum 'Cu2 Si1 Tc1'
_space_group_name_H-M_alt 'P 1'
_space_group_IT_number 1
_cell_length_a 4.715
_cell_length_b 4.715
_cell_length_c 4.642
_cell_angle_alpha 112.38
_cell_angle_beta 112.38
_cell_angle_gamma 33.12
loop_
_space_group_symop_operation_xyz
'x,y,z'
loop_
_atom_site_label
_atom_site_type_symbol
_atom_site_fract_x
_atom_site_fract_y
_atom_site_fract_z
Cu1 Cu 0.000 0.000 0.000
Cu2 Cu 0.245 0.245 0.883
Si1 Si 0.730 0.730 0.399
Tc1 Tc 0.475 0.475 0.481
```

Summary:
**Total magnetic moment**: 0.00 μB per formula unit
**Formation energy from raw total energies**: -0.06 eV per formula unit
**Calculated total energy**: -6.011 eV/atom

***

Repeat the first record exactly.
BeSnB: relaxed, PBE-GGA.

```
data_BeSnB
_chemical_formula_sum 'Be2 Sn2 B2'
_space_group_name_H-M_alt 'P 1'
_space_group_IT_number 1
_cell_length_a 2.995
_cell_length_b 3.687
_cell_length_c 8.300
_cell_angle_alpha 95.17
_cell_angle_beta 99.81
_cell_angle_gamma 90.02
loop_
_space_group_symop_operation_xyz
'x,y,z'
loop_
_atom_site_label
_atom_site_type_symbol
_atom_site_fract_x
_atom_site_fract_y
_atom_site_fract_z
Be1 Be 0.213 0.362 0.421
Be2 Be 0.787 0.638 0.579
Sn1 Sn 0.093 0.774 0.163
Sn2 Sn 0.907 0.226 0.837
B1 B 0.240 0.887 0.479
B2 B 0.760 0.113 0.521
```

Summary:
**Total magnetic moment**: 0.00 μB per formula unit
**Energy of formation**: 109 meV per atom
**Energy relative to the lowest polymorph listed for this composition**: 0.0 meV/atom
**Calculated total energy**: -4.693 eV/atom

***

Which value of calculated total energy does entry 2 give? -6.011 eV/atom